[1]
First-principles (GGA-PBE) data for crystalline Li3Cd3Ag5 at its relaxed geometry, as listed in Alexandria via LeMat-Bulk.

Summary:
E_form = 0.06 eV per atom
space group = P-62m, No. 189

Cell and atoms, written as extended XYZ:
```
11
Lattice="2.983 0.000 0.000 0.000 9.282 0.000 0.000 -4.641 8.038" Properties=species:S:1:pos:R:3 pbc="T T T"
Ag 1.492 1.623 2.811
Ag 1.492 -3.018 5.227
Ag 1.492 6.036 0.000
Ag 1.492 4.641 2.679
Ag 1.492 0.000 5.359
Li 0.000 -1.968 3.408
Li 0.000 3.935 0.000
Li 0.000 2.673 4.631
Cd 1.492 -0.845 1.463
Cd 1.492 1.690 0.000
Cd 1.492 3.796 6.575
```



[2]
First-principles (GGA-PBE) data for crystalline Li5Cd2Ag2 at its relaxed geometry, as listed in Alexandria via LeMat-Bulk.

Summary:
E_form = -0.11 eV per atom
space group = Ima2, No. 46

Cell and atoms, written as extended XYZ:
```
18
Lattice="-3.566 0.124 -3.211 -3.809 -7.820 0.339 -7.266 1.538 4.542" Properties=species:S:1:pos:R:3 pbc="T T T"
Li -6.353 -1.224 2.275
Li -3.554 -5.122 -0.250
Li -7.098 -6.431 -0.687
Li -5.860 -5.018 1.580
Li -10.348 -6.302 0.507
Li -9.275 -2.266 2.627
Li -5.774 -3.877 -1.324
Li -4.271 0.144 1.184
Li -8.681 0.313 1.332
Li -11.495 -1.021 1.553
Ag -4.475 -2.786 0.884
Ag -2.828 -1.380 -0.892
Ag -12.202 -4.764 2.213
Ag -10.554 -3.358 0.437
Cd -0.379 0.013 -0.341
Cd -5.711 -0.920 -0.995
Cd -7.700 -3.066 0.494
Cd -9.056 -5.233 2.552
```



[3]
First-principles (GGA-PBE) data for crystalline Li2Cd2Ag at its relaxed geometry, as listed in Alexandria via LeMat-Bulk.

Summary:
E_form = -0.11 eV per atom
space group = P4/mbm, No. 127

Cell and atoms, written as extended XYZ:
```
10
Lattice="-5.542 -2.508 -4.174 4.867 -3.033 -4.640 -0.062 -2.787 1.757" Properties=species:S:1:pos:R:3 pbc="T T T"
Cd 2.295 -3.792 -2.844
Cd 0.409 -5.597 -5.774
Cd -1.145 -2.731 -1.282
Cd -3.032 -4.536 -4.212
Li -2.863 -2.011 -3.290
Li 2.189 -3.531 -5.524
Li -1.687 -4.097 -6.557
Li 1.013 -1.445 -2.256
Ag 0.000 0.000 0.000
Ag -0.337 -2.771 -4.407
```



[4]
First-principles (GGA-PBE) data for crystalline Li5Cd2Ag4 at its relaxed geometry, as listed in Alexandria via LeMat-Bulk.

Summary:
E_form = -0.08 eV per atom
space group = Immm, No. 71

Cell and atoms, written as extended XYZ:
```
11
Lattice="-1.415 1.349 2.144 -1.527 -6.757 3.244 9.773 3.283 2.419" Properties=species:S:1:pos:R:3 pbc="T T T"
Cd 2.523 -2.425 5.155
Cd 4.308 0.301 2.653
Li 4.811 -0.886 5.695
Li -0.708 0.675 1.072
Li 1.127 -5.192 4.010
Li 2.020 -1.239 2.112
Li 5.704 3.067 3.798
Ag -0.442 -1.955 0.939
Ag -1.085 -4.802 2.305
Ag 6.692 0.467 4.122
Ag 0.139 -2.592 3.686
```



Copy entry 1 word for word.
First-principles (GGA-PBE) data for crystalline Li3Cd3Ag5 at its relaxed geometry, as listed in Alexandria via LeMat-Bulk.

Summary:
E_form = 0.06 eV per atom
space group = P-62m, No. 189

Cell and atoms, written as extended XYZ:
```
11
Lattice="2.983 0.000 0.000 0.000 9.282 0.000 0.000 -4.641 8.038" Properties=species:S:1:pos:R:3 pbc="T T T"
Ag 1.492 1.623 2.811
Ag 1.492 -3.018 5.227
Ag 1.492 6.036 0.000
Ag 1.492 4.641 2.679
Ag 1.492 0.000 5.359
Li 0.000 -1.968 3.408
Li 0.000 3.935 0.000
Li 0.000 2.673 4.631
Cd 1.492 -0.845 1.463
Cd 1.492 1.690 0.000
Cd 1.492 3.796 6.575
```



Repeat the second record exactly.
First-principles (GGA-PBE) data for crystalline Li5Cd2Ag2 at its relaxed geometry, as listed in Alexandria via LeMat-Bulk.

Summary:
E_form = -0.11 eV per atom
space group = Ima2, No. 46

Cell and atoms, written as extended XYZ:
```
18
Lattice="-3.566 0.124 -3.211 -3.809 -7.820 0.339 -7.266 1.538 4.542" Properties=species:S:1:pos:R:3 pbc="T T T"
Li -6.353 -1.224 2.275
Li -3.554 -5.122 -0.250
Li -7.098 -6.431 -0.687
Li -5.860 -5.018 1.580
Li -10.348 -6.302 0.507
Li -9.275 -2.266 2.627
Li -5.774 -3.877 -1.324
Li -4.271 0.144 1.184
Li -8.681 0.313 1.332
Li -11.495 -1.021 1.553
Ag -4.475 -2.786 0.884
Ag -2.828 -1.380 -0.892
Ag -12.202 -4.764 2.213
Ag -10.554 -3.358 0.437
Cd -0.379 0.013 -0.341
Cd -5.711 -0.920 -0.995
Cd -7.700 -3.066 0.494
Cd -9.056 -5.233 2.552
```